Record 1
Entry from OQMD via LeMat-Bulk: an optimized crystal structure of ScZnSn2 (GGA-PBE).

Uncorrected energy: -3.930 eV per atom
Magnetization: 0.0041 μB/atom

a b c (Å): 5.0977 5.0977 5.0977
angles (deg): 60.00 60.00 60.00
Last column: nearest neighbours and their distance in Å.
Element x y z (fractional)
Sc  0.0000  0.0000  0.0000  4 Sn 3.12, 4 Zn 3.12
Zn  0.2500  0.2500  0.2500  4 Sn 3.12, 4 Sc 3.12
Sn  0.5000  0.5000  0.5000  4 Sn 3.12, 4 Zn 3.12
Sn  0.7500  0.7500  0.7500  4 Sn 3.12, 4 Sc 3.12



Record 2
Entry from OQMD via LeMat-Bulk: an optimized crystal structure of Pu5Ga3 (GGA-PBE).

Uncorrected energy: -10.263 eV per atom
Magnetization: 3.5044 μB/atom

a b c (Å): 8.7140 8.7140 8.7140
angles (deg): 95.55 95.55 143.78
Last column: nearest neighbours and their distance in Å.
Element x y z (fractional)
Pu  0.0826  0.7757  0.8583  6 Ga 3.07-3.16, 3 Pu 3.20-3.33
Pu  0.2243  0.0826  0.3069  6 Ga 3.07-3.16, 3 Pu 3.20-3.33
Pu  0.2500  0.7500  0.5000  2 Pu 2.71, 4 Ga 3.01
Pu  0.2757  0.5826  0.8583  6 Ga 3.07-3.16, 3 Pu 3.20-3.33
Pu  0.4174  0.2757  0.6931  6 Ga 3.07-3.16, 3 Pu 3.20-3.33
Pu  0.5826  0.7243  0.3069  6 Ga 3.07-3.16, 3 Pu 3.20-3.33
Pu  0.7243  0.4174  0.1417  6 Ga 3.07-3.16, 3 Pu 3.20-3.33
Pu  0.7500  0.2500  0.5000  2 Pu 2.71, 4 Ga 3.01
Pu  0.7757  0.9174  0.6931  6 Ga 3.07-3.16, 3 Pu 3.20-3.33
Pu  0.9174  0.2243  0.1417  6 Ga 3.07-3.16, 3 Pu 3.20-3.33
Ga  0.1625  0.3375  0.5000  10 Pu 3.01-3.16
Ga  0.2500  0.2500  0.0000  2 Ga 2.71
Ga  0.3375  0.8375  0.1750  10 Pu 3.01-3.16
Ga  0.6625  0.1625  0.8250  10 Pu 3.01-3.16
Ga  0.7500  0.7500  0.0000  2 Ga 2.71
Ga  0.8375  0.6625  0.5000  10 Pu 3.01-3.16



Q: Among the records above, which one has the lowest uncorrected energy?
A: Pu5Ga3



What did the second record say?
Entry from OQMD via LeMat-Bulk: an optimized crystal structure of Pu5Ga3 (GGA-PBE).

Uncorrected energy: -10.263 eV per atom
Magnetization: 3.5044 μB/atom

a b c (Å): 8.7140 8.7140 8.7140
angles (deg): 95.55 95.55 143.78
Last column: nearest neighbours and their distance in Å.
Element x y z (fractional)
Pu  0.0826  0.7757  0.8583  6 Ga 3.07-3.16, 3 Pu 3.20-3.33
Pu  0.2243  0.0826  0.3069  6 Ga 3.07-3.16, 3 Pu 3.20-3.33
Pu  0.2500  0.7500  0.5000  2 Pu 2.71, 4 Ga 3.01
Pu  0.2757  0.5826  0.8583  6 Ga 3.07-3.16, 3 Pu 3.20-3.33
Pu  0.4174  0.2757  0.6931  6 Ga 3.07-3.16, 3 Pu 3.20-3.33
Pu  0.5826  0.7243  0.3069  6 Ga 3.07-3.16, 3 Pu 3.20-3.33
Pu  0.7243  0.4174  0.1417  6 Ga 3.07-3.16, 3 Pu 3.20-3.33
Pu  0.7500  0.2500  0.5000  2 Pu 2.71, 4 Ga 3.01
Pu  0.7757  0.9174  0.6931  6 Ga 3.07-3.16, 3 Pu 3.20-3.33
Pu  0.9174  0.2243  0.1417  6 Ga 3.07-3.16, 3 Pu 3.20-3.33
Ga  0.1625  0.3375  0.5000  10 Pu 3.01-3.16
Ga  0.2500  0.2500  0.0000  2 Ga 2.71
Ga  0.3375  0.8375  0.1750  10 Pu 3.01-3.16
Ga  0.6625  0.1625  0.8250  10 Pu 3.01-3.16
Ga  0.7500  0.7500  0.0000  2 Ga 2.71
Ga  0.8375  0.6625  0.5000  10 Pu 3.01-3.16